Entry 1:
Here is a relaxed Na2Ga3GePt4 crystal from the Alexandria database. Energies are from PBE-GGA.

Results
- E_tot (eV for the cell shown) = -46.16
- magnetization (μB/atom) = 0.0000
- crystal system = tetragonal
- DOS(E_F) (states/eV per atom) = 0.34
- space-group type = P-4m2, No. 115
- energy relative to the elements (eV per atom) = -0.57

Cell lengths 4.208, 4.208, 10.645 Å; angles 90.00, 90.00, 90.00 degrees
Fractional coordinates of all 10 atoms:
Pt  0.500  0.000  0.632
Pt  0.000  0.000  0.000
Pt  0.500  0.500  0.000
Pt  0.000  0.500  0.368
Na  0.500  0.000  0.242
Na  0.000  0.500  0.758
Ga  0.500  0.000  0.866
Ga  0.000  0.500  0.134
Ga  0.000  0.000  0.500
Ge  0.500  0.500  0.500

***

Entry 2:
Here is a relaxed Na2GaGe3Pt4 crystal from the Alexandria database. Energies are from PBE-GGA.

Results
- E_tot (eV for the cell shown) = -48.92
- magnetization (μB/atom) = 0.0000
- crystal system = tetragonal
- DOS(E_F) (states/eV per atom) = 0.49
- space-group type = P-4m2, No. 115
- energy relative to the elements (eV per atom) = -0.52

Cell lengths 4.234, 4.234, 10.559 Å; angles 90.00, 90.00, 90.00 degrees
Fractional coordinates of all 10 atoms:
Na  0.000  0.500  0.752
Na  0.500  0.000  0.248
Ge  0.000  0.500  0.132
Ge  0.500  0.000  0.868
Ge  0.000  0.000  0.500
Pt  0.000  0.000  0.000
Pt  0.000  0.500  0.366
Pt  0.500  0.000  0.634
Pt  0.500  0.500  0.000
Ga  0.500  0.500  0.500

***

Entry 3:
Here is a relaxed Na2GaGe2Pt5 crystal from the Alexandria database. Energies are from PBE-GGA.

Results
- E_tot (eV for the cell shown) = -99.70
- magnetization (μB/atom) = 0.0000
- crystal system = tetragonal
- DOS(E_F) (states/eV per atom) = 0.23
- space-group type = P4/mbm, No. 127
- energy relative to the elements (eV per atom) = -0.47

Cell lengths 2.854, 11.050, 11.050 Å; angles 90.00, 90.00, 90.00 degrees
Fractional coordinates of all 20 atoms:
Pt  0.500  0.436  0.310
Pt  0.500  0.564  0.690
Pt  0.500  0.810  0.936
Pt  0.500  0.936  0.190
Pt  0.500  0.310  0.564
Pt  0.500  0.190  0.064
Pt  0.500  0.690  0.436
Pt  0.500  0.500  0.000
Pt  0.500  0.064  0.810
Pt  0.500  0.000  0.500
Na  0.000  0.828  0.672
Na  0.000  0.328  0.828
Na  0.000  0.672  0.172
Na  0.000  0.172  0.328
Ga  0.000  0.000  0.000
Ga  0.000  0.500  0.500
Ge  0.000  0.864  0.364
Ge  0.000  0.136  0.636
Ge  0.000  0.636  0.864
Ge  0.000  0.364  0.136

***

Entry 4:
Here is a relaxed NaGaGe2Pt crystal from the Alexandria database. Energies are from PBE-GGA.

Results
- E_tot (eV for the cell shown) = -20.88
- magnetization (μB/atom) = 0.0000
- crystal system = tetragonal
- DOS(E_F) (states/eV per atom) = 0.24
- space-group type = I-4m2, No. 119
- energy relative to the elements (eV per atom) = -0.25

Cell lengths 4.237, 4.237, 6.247 Å; angles 109.82, 109.82, 90.00 degrees
Fractional coordinates of all 5 atoms:
Ge  0.617  0.617  0.234
Ge  0.383  0.383  0.766
Ga  0.750  0.250  0.500
Na  0.000  0.000  0.000
Pt  0.250  0.750  0.500